HgAs3Os after structural relaxation, computed with PBE.

Structure (extended XYZ):
```
5
Lattice="-4.4054 1.9927 0.5352 -1.0881 -1.1715 -4.5944 -1.7531 -4.2804 1.5066" Properties=species:S:1:pos:R:3 pbc="T T T"
As -0.5440 -0.5858 -2.2972
As -0.8766 -2.1402 0.7533
As -2.2027 0.9964 0.2676
Os 0.0000 0.0000 0.0000
Hg -3.6233 -1.7296 -1.2763
```

Summary:
Space-group type = Pm-3m
DFT formation energy = 0.626 eV per atom
VASP energy = -22.3 eV for the cell shown
Distance to the lowest polymorph of the same formula = 0 meV/atom
M_tot = 0.0 μB/f.u.